[1]
## AcPr2Mg (PBE)

Data for an optimized crystal structure of AcPr2Mg.

Summary:
Energy relative to the lowest polymorph listed for this composition in meV per atom: 123
E in eV for the cell shown: -59.80
Size of the total moment in μB/f.u.: 0.00
Crystal system: cubic
Energy of formation from the pure elements in eV per atom: 0.078

Geometry as CIF:
```
data_AcPr2Mg
_chemical_formula_sum 'Ac4 Pr8 Mg4'
_cell_length_a 8.256
_cell_length_b 8.256
_cell_length_c 8.256
_cell_angle_alpha 90.00
_cell_angle_beta 90.00
_cell_angle_gamma 90.00
_space_group_name_H-M_alt 'F m -3 m'
_space_group_IT_number 225
_space_group_name_Hall '-F 4 2 3'
loop_
_atom_site_label
_atom_site_fract_x
_atom_site_fract_y
_atom_site_fract_z
Ac1 0.000 0.000 0.000
Pr1 0.250 0.250 0.250
Mg1 0.000 0.000 0.500
```

***

[2]
## HfIn2Te6 (PBE)

Data for an optimized crystal structure of HfIn2Te6.

Summary:
ΔE_f (raw) in eV/f.u.: -3.14
E in eV for the cell shown: -149.69
Size of the total moment in μB/f.u.: 0.00
Crystal system: monoclinic

Geometry as CIF:
```
data_HfIn2Te6
_chemical_formula_sum 'Hf4 In8 Te24'
_cell_length_a 13.527
_cell_length_b 12.705
_cell_length_c 7.856
_cell_angle_alpha 90.00
_cell_angle_beta 105.76
_cell_angle_gamma 90.00
_space_group_name_H-M_alt 'C 1 2/c 1'
_space_group_IT_number 15
loop_
_space_group_symop_operation_xyz
'x,y,z'
'-x,-y,-z'
'-x,y,-z+1/2'
'x,-y,z+1/2'
'x+1/2,y+1/2,z'
'-x+1/2,-y+1/2,-z'
'-x+1/2,y+1/2,-z+1/2'
'x+1/2,-y+1/2,z+1/2'
loop_
_atom_site_label
_atom_site_fract_x
_atom_site_fract_y
_atom_site_fract_z
Hf1 0.000 0.086 0.250
In1 0.189 0.400 0.315
Te1 0.086 0.430 0.591
Te2 0.097 0.099 0.632
Te3 0.171 0.191 0.187
```

***

[3]
## Pm3SnPd2 (PBE)

Data for an optimized crystal structure of Pm3SnPd2.

Summary:
E in eV for the cell shown: -33.02
Size of the total moment in μB/f.u.: 0.00
Crystal system: tetragonal
Energy of formation from the pure elements in eV per atom: -0.730

Geometry as CIF:
```
data_Pm3SnPd2
_chemical_formula_sum 'Pm3 Sn1 Pd2'
_cell_length_a 3.599
_cell_length_b 3.599
_cell_length_c 11.553
_cell_angle_alpha 90.00
_cell_angle_beta 90.00
_cell_angle_gamma 90.00
_space_group_name_H-M_alt 'P 4/m m m'
_space_group_IT_number 123
_space_group_name_Hall '-P 4 2'
loop_
_atom_site_label
_atom_site_fract_x
_atom_site_fract_y
_atom_site_fract_z
Pm1 0.000 0.000 0.000
Pm2 0.000 0.000 0.312
Sn1 0.500 0.500 0.500
Pd1 0.500 0.500 0.153
```

***

[4]
## ZrZnSe2N (PBE)

Data for an optimized crystal structure of ZrZnSe2N.

Summary:
ΔE_f (raw) in eV/f.u.: 1.90
Energy relative to the lowest polymorph listed for this composition in meV per atom: 378
E in eV for the cell shown: -23.22
Size of the total moment in μB/f.u.: 0.03
Crystal system: tetragonal

Geometry as CIF:
```
data_ZrZnSe2N
_chemical_formula_sum 'Zr1 Zn1 Se2 N1'
_cell_length_a 5.008
_cell_length_b 5.008
_cell_length_c 3.675
_cell_angle_alpha 90.00
_cell_angle_beta 90.00
_cell_angle_gamma 90.00
_space_group_name_H-M_alt 'P 4/m m m'
_space_group_IT_number 123
_space_group_name_Hall '-P 4 2'
loop_
_atom_site_label
_atom_site_fract_x
_atom_site_fract_y
_atom_site_fract_z
Zr1 0.000 0.000 0.000
Zn1 0.500 0.500 0.500
Se1 0.000 0.500 0.500
N1 0.500 0.500 0.000
```

***

[5]
## NdAl12Cu4 (PBE)

Data for an optimized crystal structure of NdAl12Cu4.

Summary:
E in eV for the cell shown: -130.36
Size of the total moment in μB/f.u.: 0.00
Crystal system: cubic
Energy of formation from the pure elements in eV per atom: 0.052

Geometry as CIF:
```
data_NdAl12Cu4
_chemical_formula_sum 'Nd2 Al24 Cu8'
_cell_length_a 8.609
_cell_length_b 8.609
_cell_length_c 8.609
_cell_angle_alpha 90.00
_cell_angle_beta 90.00
_cell_angle_gamma 90.00
_space_group_name_H-M_alt 'I m -3'
_space_group_IT_number 204
_space_group_name_Hall '-I 2 2 3'
loop_
_atom_site_label
_atom_site_fract_x
_atom_site_fract_y
_atom_site_fract_z
Nd1 0.000 0.000 0.000
Al1 0.000 0.166 0.343
Cu1 0.250 0.250 0.250
```

***

[6]
## PPbCl2 (PBE)

Data for an optimized crystal structure of PPbCl2.

Summary:
ΔE_f (raw) in eV/f.u.: -1.52
Energy relative to the lowest polymorph listed for this composition in meV per atom: 0
E in eV for the cell shown: -14.33
Size of the total moment in μB/f.u.: 0.00
Crystal system: tetragonal

Geometry as CIF:
```
data_PPbCl2
_chemical_formula_sum 'P1 Pb1 Cl2'
_cell_length_a 4.128
_cell_length_b 4.128
_cell_length_c 7.495
_cell_angle_alpha 90.00
_cell_angle_beta 90.00
_cell_angle_gamma 90.00
_space_group_name_H-M_alt 'P 4 m m'
_space_group_IT_number 99
loop_
_space_group_symop_operation_xyz
'x,y,z'
'-y,x,z'
'-x,-y,z'
'y,-x,z'
'-x,y,z'
'y,x,z'
'x,-y,z'
'-y,-x,z'
loop_
_atom_site_label
_atom_site_fract_x
_atom_site_fract_y
_atom_site_fract_z
P1 0.000 0.000 0.000
Pb1 0.500 0.500 0.946
Cl1 0.000 0.000 0.274
Cl2 0.500 0.500 0.614
```

***

[7]
## TaNb (PBE)

Data for an optimized crystal structure of TaNb.

Summary:
Energy relative to the lowest polymorph listed for this composition in meV per atom: 478
E in eV for the cell shown: -167.88
Size of the total moment in μB/f.u.: 0.00
Crystal system: tetragonal
Energy of formation from the pure elements in eV per atom: 0.469

Geometry as CIF:
```
data_TaNb
_chemical_formula_sum 'Ta8 Nb8'
_cell_length_a 8.088
_cell_length_b 8.088
_cell_length_c 4.823
_cell_angle_alpha 90.00
_cell_angle_beta 90.00
_cell_angle_gamma 90.00
_space_group_name_H-M_alt 'I 4/m m m'
_space_group_IT_number 139
_space_group_name_Hall '-I 4 2'
loop_
_atom_site_label
_atom_site_fract_x
_atom_site_fract_y
_atom_site_fract_z
Ta1 0.168 0.168 0.000
Nb1 0.000 0.313 0.500
```

***

[8]
## Li2MnTcB (PBE)

Data for an optimized crystal structure of Li2MnTcB.

Summary:
E in eV for the cell shown: -21.86
Size of the total moment in μB/f.u.: 1.73
Crystal system: tetragonal
Energy of formation from the pure elements in eV per atom: 1.637

Geometry as CIF:
```
data_Li2MnTcB
_chemical_formula_sum 'Li2 Mn1 Tc1 B1'
_cell_length_a 4.188
_cell_length_b 4.188
_cell_length_c 4.362
_cell_angle_alpha 90.00
_cell_angle_beta 90.00
_cell_angle_gamma 90.00
_space_group_name_H-M_alt 'P 4/m m m'
_space_group_IT_number 123
_space_group_name_Hall '-P 4 2'
loop_
_atom_site_label
_atom_site_fract_x
_atom_site_fract_y
_atom_site_fract_z
Li1 0.000 0.500 0.000
Mn1 0.000 0.000 0.000
Tc1 0.000 0.000 0.500
B1 0.500 0.500 0.500
```